No. 1
Here is crystalline BeNb2Cu2 at its relaxed geometry from the Alexandria database. Energies are from PBE.

Computed properties:
Offset from the most stable computed form in eV/atom: 0.000
Density of states at the Fermi level in states/eV/atom: 0.445
Calculated formation energy in meV/atom: 186

Cell: 5.958 5.958 4.039 Å, 90.00 90.00 90.00°
Space group P4/mbm (No. 127)
Symmetry-distinct sites (fractional):
Be 0.000 0.000 0.000
Nb 0.167 0.333 0.500
Cu 0.144 0.644 0.000



No. 2
Here is crystalline CoRh4 at its relaxed geometry from the Alexandria database. Energies are from PBE.

Computed properties:
Offset from the most stable computed form in eV/atom: 0.836
Density of states at the Fermi level in states/eV/atom: 1.900
Calculated formation energy in meV/atom: 865

Cell: 4.739 4.739 7.450 Å, 90.00 90.00 90.00°
Space group I4/mmm (No. 139)
Symmetry-distinct sites (fractional):
Co 0.000 0.000 0.000
Rh 0.000 0.000 0.343
Rh 0.000 0.500 0.250



No. 3
Here is crystalline PuIn at its relaxed geometry from the Alexandria database. Energies are from PBE.

Computed properties:
Density of states at the Fermi level in states/eV/atom: 3.262
Calculated formation energy in meV/atom: -181

Cell: 3.209 3.209 4.917 Å, 90.00 90.00 90.00°
Space group P4/mmm (No. 123)
Symmetry-distinct sites (fractional):
Pu 0.000 0.000 0.000
In 0.500 0.500 0.500



No. 4
Here is crystalline BaNdHgGe at its relaxed geometry from the Alexandria database. Energies are from PBE.

Computed properties:
Density of states at the Fermi level in states/eV/atom: 1.122
Calculated formation energy in meV/atom: -421

Cell: 7.874 7.874 7.874 Å, 90.00 90.00 90.00°
Space group F-43m (No. 216)
Symmetry-distinct sites (fractional):
Ba 0.000 0.000 0.000
Nd 0.000 0.000 0.500
Hg 0.250 0.250 0.250
Ge 0.250 0.250 0.750



No. 5
Here is crystalline Mn4GeOs at its relaxed geometry from the Alexandria database. Energies are from PBE.

Computed properties:
Density of states at the Fermi level in states/eV/atom: 0.799
Calculated formation energy in meV/atom: 132

Cell: 4.160 7.203 4.840 Å, 90.00 90.10 90.00°
Space group C2/m (No. 12)
Symmetry-distinct sites (fractional):
Mn 0.000 0.167 0.220
Ge 0.000 0.500 0.000
Os 0.000 0.500 0.500



No. 6
Here is crystalline MnZnAs2 at its relaxed geometry from the Alexandria database. Energies are from PBE.

Computed properties:
Density of states at the Fermi level in states/eV/atom: 0.944
Calculated formation energy in meV/atom: 216

Cell: 2.9656 2.9656 28.1721 Å, 90.00 90.00 120.00°
Space group R3m (No. 160, hexagonal axes)
Symmetry-distinct sites (fractional):
Mn 0.0000 0.0000 0.0000
Zn 0.0000 0.0000 0.2602
As 0.0000 0.0000 0.5199
As 0.0000 0.0000 0.7338



No. 7
Here is crystalline Mg2BeCr at its relaxed geometry from the Alexandria database. Energies are from PBE.

Computed properties:
Density of states at the Fermi level in states/eV/atom: 0.798
Calculated formation energy in meV/atom: 578

Cell: 5.347 8.455 2.678 Å, 90.00 90.00 90.00°
Space group Cmmm (No. 65)
Symmetry-distinct sites (fractional):
Mg 0.250 0.250 0.000
Be 0.000 0.000 0.500
Cr 0.000 0.500 0.500



No. 8
Here is crystalline HgH6Pt at its relaxed geometry from the Alexandria database. Energies are from PBE.

Computed properties:
Density of states at the Fermi level in states/eV/atom: 0.132
Energy in eV per atom: -3.11

Cell: 8.976 4.519 4.381 Å, 90.00 117.23 90.00°
Space group C2/m (No. 12)
Symmetry-distinct sites (fractional):
Hg 0.000 0.000 0.000
H 0.112 0.257 0.404
H 0.173 0.500 0.869
Pt 0.000 0.500 0.500



No. 9
Here is crystalline TbPmIrPt at its relaxed geometry from the Alexandria database. Energies are from PBE.

Computed properties:
Offset from the most stable computed form in eV/atom: 0.000
Density of states at the Fermi level in states/eV/atom: 0.582
Calculated formation energy in meV/atom: -962

Cell: 4.325 3.902 10.818 Å, 90.00 90.00 90.00°
Space group Amm2 (No. 38)
Symmetry-distinct sites (fractional):
Tb 0.000 0.000 0.000
Pm 0.500 0.000 0.284
Ir 0.500 0.000 0.552
Pt 0.000 0.000 0.723



No. 10
Here is crystalline PuPaO4 at its relaxed geometry from the Alexandria database. Energies are from PBE.

Computed properties:
Density of states at the Fermi level in states/eV/atom: 1.031
E_form (uncorrected) in eV per atom: -3.488

Cell: 3.840 3.840 5.485 Å, 90.00 90.00 90.00°
Space group P4/mmm (No. 123)
Symmetry-distinct sites (fractional):
Pu 0.000 0.000 0.000
Pa 0.500 0.500 0.500
O 0.000 0.500 0.262



No. 11
Here is crystalline HfIr2RuS at its relaxed geometry from the Alexandria database. Energies are from PBE.

Computed properties:
Density of states at the Fermi level in states/eV/atom: 1.411
E_form (uncorrected) in eV per atom: 1.455

Cell: 4.853 4.853 4.739 Å, 90.00 90.00 90.00°
Space group P4/mmm (No. 123)
Symmetry-distinct sites (fractional):
Hf 0.000 0.000 0.000
Ir 0.000 0.500 0.000
Ru 0.500 0.500 0.500
S 0.000 0.000 0.500



No. 12
Here is crystalline KPb2Au at its relaxed geometry from the Alexandria database. Energies are from PBE.

Computed properties:
Density of states at the Fermi level in states/eV/atom: 0.350
Calculated formation energy in meV/atom: 59

Cell: 6.602 10.794 3.208 Å, 90.00 90.00 90.00°
Space group Cmmm (No. 65)
Symmetry-distinct sites (fractional):
K 0.000 0.000 0.000
Pb 0.250 0.250 0.500
Au 0.000 0.500 0.000



density of states at the Fermi level of number 2 (CoRh4)?
1.900 states/eV/atom